1.
The following is a DFT calculation (GGA-PBE) of a relaxed structure of Ca2AcSm.

Output
ΔH_f (0 K): 1.9 kcal/mol of atoms
E above lowest polymorph: 49.1 meV/atom
total magnetic moment: 0.42 μB/f.u.

Geometry as CIF:
```
data_Ca2AcSm
_space_group_name_H-M_alt 'R 3 m'
_space_group_IT_number 160
_space_group_name_Hall 'R 3 -2"'
_cell_length_a 3.8252
_cell_length_b 3.8252
_cell_length_c 37.7904
_cell_angle_alpha 90.00
_cell_angle_beta 90.00
_cell_angle_gamma 120.00
loop_
_atom_site_label
_atom_site_type_symbol
_atom_site_fract_x
_atom_site_fract_y
_atom_site_fract_z
_atom_site_occupancy
Ca1 Ca 0.0000 0.0000 0.0000 1
Ca2 Ca 0.0000 0.0000 0.1604 1
Ac1 Ac 0.0000 0.0000 0.5801 1
Sm1 Sm 0.0000 0.0000 0.4137 1
```

***

2.
The following is a DFT calculation (GGA-PBE) of a relaxed structure of LuZnGe2.

Output
ΔH_f (0 K): -9.1 kcal/mol of atoms
E above lowest polymorph: 0.0 meV/atom
total magnetic moment: 0.00 μB/f.u.

Geometry as CIF:
```
data_LuZnGe2
_space_group_name_H-M_alt 'P 4/m m m'
_space_group_IT_number 123
_space_group_name_Hall '-P 4 2'
_cell_length_a 4.297
_cell_length_b 4.297
_cell_length_c 4.037
_cell_angle_alpha 90.00
_cell_angle_beta 90.00
_cell_angle_gamma 90.00
loop_
_atom_site_label
_atom_site_type_symbol
_atom_site_fract_x
_atom_site_fract_y
_atom_site_fract_z
_atom_site_occupancy
Lu1 Lu 0.000 0.000 0.000 1
Zn1 Zn 0.500 0.500 0.000 1
Ge1 Ge 0.000 0.500 0.500 1
```

***

3.
The following is a DFT calculation (GGA-PBE) of a relaxed structure of OsPdRuO2.

Output
total magnetic moment: 3.58 μB/f.u.
formation energy from raw total energies: 2.6 eV/f.u.

Geometry as CIF:
```
data_OsPdRuO2
_space_group_name_H-M_alt 'P 4/m m m'
_space_group_IT_number 123
_space_group_name_Hall '-P 4 2'
_cell_length_a 3.720
_cell_length_b 3.720
_cell_length_c 5.659
_cell_angle_alpha 90.00
_cell_angle_beta 90.00
_cell_angle_gamma 90.00
loop_
_atom_site_label
_atom_site_type_symbol
_atom_site_fract_x
_atom_site_fract_y
_atom_site_fract_z
_atom_site_occupancy
Os1 Os 0.000 0.000 0.000 1
Pd1 Pd 0.500 0.500 0.000 1
Ru1 Ru 0.500 0.500 0.500 1
O1 O 0.000 0.500 0.500 1
```

***

4.
The following is a DFT calculation (GGA-PBE) of a relaxed structure of PuTi2Rh.

Output
ΔH_f (0 K): -7.3 kcal/mol of atoms
E above lowest polymorph: 0.0 meV/atom
total magnetic moment: 4.83 μB/f.u.

Geometry as CIF:
```
data_PuTi2Rh
_space_group_name_H-M_alt 'P 4/m m m'
_space_group_IT_number 123
_space_group_name_Hall '-P 4 2'
_cell_length_a 3.077
_cell_length_b 3.077
_cell_length_c 7.354
_cell_angle_alpha 90.00
_cell_angle_beta 90.00
_cell_angle_gamma 90.00
loop_
_atom_site_label
_atom_site_type_symbol
_atom_site_fract_x
_atom_site_fract_y
_atom_site_fract_z
_atom_site_occupancy
Pu1 Pu 0.000 0.000 0.000 1
Ti1 Ti 0.500 0.500 0.283 1
Rh1 Rh 0.000 0.000 0.500 1
```

***

Let's list E_tot in order: -37.5, -16.6, -33.0, -38.7 eV/cell.